## PmSn6Rh6 (GGA-PBE)

Data for a relaxed PmSn6Rh6 crystal.

a = 7.1837 Å, b = 7.1837 Å, c = 7.1837 Å
α = 133.41°, β = 104.41°, γ = 93.67°
With the nearest neighbours (Å) after each atom.
Atoms (fractional coordinates):
Pm  0.0000  0.0000  0.0000  8 Sn 2.98-3.30
Sn  0.1687  0.6687  0.5000  6 Rh 2.74-2.75
Sn  0.3357  0.3357  0.0000  6 Rh 2.73-2.75
Sn  0.3385  0.0000  0.3385  1 Sn 2.84, 6 Rh 2.94-2.95, 1 Pm 2.98
Sn  0.6615  0.0000  0.6615  1 Sn 2.84, 6 Rh 2.94-2.95, 1 Pm 2.98
Sn  0.6643  0.6643  0.0000  6 Rh 2.73-2.75
Sn  0.8313  0.3313  0.5000  6 Rh 2.74-2.75
Rh  0.0000  0.0000  0.5000  6 Sn 2.74-2.94, 4 Rh 2.84
Rh  0.0000  0.5000  0.0000  6 Sn 2.74-2.94, 4 Rh 2.84
Rh  0.2499  0.5000  0.7499  6 Sn 2.73-2.95, 4 Rh 2.84
Rh  0.5000  0.0000  0.0000  6 Sn 2.74-2.94, 4 Rh 2.84
Rh  0.5000  0.5000  0.5000  6 Sn 2.74-2.94, 4 Rh 2.84
Rh  0.7501  0.5000  0.2501  6 Sn 2.73-2.95, 4 Rh 2.84

Its crystal system is orthorhombic. The uncorrected energy is -0.227 Ha/atom. As for the space group: No. 71. The value obtained for the mass density is 10.0 g/cm3. The formation energy comes out at -0.56 eV/atom.